This record from Alexandria describes crystalline SrTlAu at its relaxed geometry. The functional is PBE-GGA.

extended XYZ file:
```
3
Lattice="-1.992 1.992 5.283 1.992 -1.992 5.283 1.992 1.992 -5.283" Properties=species:S:1:pos:R:3 pbc="T T T"
Sr 0.000 0.000 0.000
Tl 0.000 0.000 7.306
Au 0.000 0.000 3.553
```

Calculated values
Energy relative to the elements   -0.440 eV per atom
Total DFT energy (no corrections)   -0.106 hartree per atom